1.
Below is a relaxed structure of PuHfNb2, with properties calculated at the GGA-PBE level.

Unit cell a=6.873 b=6.873 c=6.873 alpha=90.00 beta=90.00 gamma=90.00
Element x y z (fractional)
Pu: 0.000 0.000 0.000
Pu: 0.000 0.500 0.500
Pu: 0.500 0.000 0.500
Pu: 0.500 0.500 0.000
Hf: 0.000 0.000 0.500
Hf: 0.000 0.500 0.000
Hf: 0.500 0.000 0.000
Hf: 0.500 0.500 0.500
Nb: 0.250 0.250 0.250
Nb: 0.250 0.250 0.750
Nb: 0.250 0.750 0.250
Nb: 0.250 0.750 0.750
Nb: 0.750 0.250 0.250
Nb: 0.750 0.250 0.750
Nb: 0.750 0.750 0.250
Nb: 0.750 0.750 0.750

## Properties
DFT total energy: -10.93 eV per atom
crystal system: cubic
E above lowest polymorph: 0 meV/atom

***

2.
Below is a relaxed structure of PuHfNb4, with properties calculated at the GGA-PBE level.

Unit cell a=5.590 b=5.590 c=5.590 alpha=60.00 beta=60.00 gamma=60.00
Element x y z (fractional)
Pu: 0.000 0.000 0.000
Hf: 0.750 0.750 0.750
Nb: 0.375 0.375 0.375
Nb: 0.375 0.375 0.875
Nb: 0.375 0.875 0.375
Nb: 0.875 0.375 0.375

## Properties
DFT total energy: -10.54 eV per atom
crystal system: cubic

***

3.
Below is a relaxed structure of PuHf2Nb, with properties calculated at the GGA-PBE level.

Unit cell a=6.984 b=6.984 c=6.984 alpha=90.00 beta=90.00 gamma=90.00
Element x y z (fractional)
Pu: 0.000 0.000 0.000
Pu: 0.000 0.500 0.500
Pu: 0.500 0.000 0.500
Pu: 0.500 0.500 0.000
Hf: 0.250 0.250 0.250
Hf: 0.250 0.250 0.750
Hf: 0.250 0.750 0.250
Hf: 0.250 0.750 0.750
Hf: 0.750 0.250 0.250
Hf: 0.750 0.250 0.750
Hf: 0.750 0.750 0.250
Hf: 0.750 0.750 0.750
Nb: 0.000 0.000 0.500
Nb: 0.000 0.500 0.000
Nb: 0.500 0.000 0.000
Nb: 0.500 0.500 0.500

## Properties
DFT total energy: -10.90 eV per atom
crystal system: cubic
E above lowest polymorph: 37 meV/atom

***

4.
Below is a relaxed structure of PuHfNb2, with properties calculated at the GGA-PBE level.

Unit cell a=3.407 b=3.407 c=6.927 alpha=90.00 beta=90.00 gamma=90.00
Element x y z (fractional)
Pu: 0.000 0.000 0.000
Hf: 0.000 0.000 0.500
Nb: 0.500 0.500 0.235
Nb: 0.500 0.500 0.765

## Properties
DFT total energy: -10.93 eV per atom
crystal system: tetragonal
E above lowest polymorph: 5 meV/atom

***

5.
Below is a relaxed structure of PuHf2Nb, with properties calculated at the GGA-PBE level.

Unit cell a=3.415 b=3.415 c=7.559 alpha=90.00 beta=90.00 gamma=90.00
Element x y z (fractional)
Pu: 0.000 0.000 0.000
Hf: 0.500 0.500 0.284
Hf: 0.500 0.500 0.716
Nb: 0.000 0.000 0.500

## Properties
DFT total energy: -10.93 eV per atom
crystal system: tetragonal
E above lowest polymorph: 0 meV/atom

***

6.
Below is a relaxed structure of PuHfTiNb, with properties calculated at the GGA-PBE level.

Unit cell a=6.847 b=6.847 c=6.847 alpha=90.00 beta=90.00 gamma=90.00
Element x y z (fractional)
Pu: 0.000 0.000 0.000
Pu: 0.000 0.500 0.500
Pu: 0.500 0.000 0.500
Pu: 0.500 0.500 0.000
Hf: 0.250 0.250 0.250
Hf: 0.250 0.750 0.750
Hf: 0.750 0.250 0.750
Hf: 0.750 0.750 0.250
Ti: 0.250 0.250 0.750
Ti: 0.250 0.750 0.250
Ti: 0.750 0.250 0.250
Ti: 0.750 0.750 0.750
Nb: 0.000 0.000 0.500
Nb: 0.000 0.500 0.000
Nb: 0.500 0.000 0.000
Nb: 0.500 0.500 0.500

## Properties
DFT total energy: -10.38 eV per atom
crystal system: cubic

***

7.
Below is a relaxed structure of PuHfZrNb, with properties calculated at the GGA-PBE level.

Unit cell a=7.011 b=7.011 c=7.011 alpha=90.00 beta=90.00 gamma=90.00
Element x y z (fractional)
Pu: 0.000 0.000 0.000
Pu: 0.000 0.500 0.500
Pu: 0.500 0.000 0.500
Pu: 0.500 0.500 0.000
Hf: 0.250 0.250 0.250
Hf: 0.250 0.750 0.750
Hf: 0.750 0.250 0.750
Hf: 0.750 0.750 0.250
Zr: 0.250 0.250 0.750
Zr: 0.250 0.750 0.250
Zr: 0.750 0.250 0.250
Zr: 0.750 0.750 0.750
Nb: 0.000 0.000 0.500
Nb: 0.000 0.500 0.000
Nb: 0.500 0.000 0.000
Nb: 0.500 0.500 0.500

## Properties
DFT total energy: -10.55 eV per atom
crystal system: cubic

***

8.
Below is a relaxed structure of RbHf2Nb, with properties calculated at the GGA-PBE level.

Unit cell a=7.234 b=7.234 c=7.234 alpha=90.00 beta=90.00 gamma=90.00
Element x y z (fractional)
Rb: 0.000 0.000 0.000
Rb: 0.000 0.500 0.500
Rb: 0.500 0.000 0.500
Rb: 0.500 0.500 0.000
Hf: 0.250 0.250 0.250
Hf: 0.250 0.250 0.750
Hf: 0.250 0.750 0.250
Hf: 0.250 0.750 0.750
Hf: 0.750 0.250 0.250
Hf: 0.750 0.250 0.750
Hf: 0.750 0.750 0.250
Hf: 0.750 0.750 0.750
Nb: 0.000 0.000 0.500
Nb: 0.000 0.500 0.000
Nb: 0.500 0.000 0.000
Nb: 0.500 0.500 0.500

## Properties
DFT total energy: -6.49 eV per atom
crystal system: cubic
E above lowest polymorph: 0 meV/atom